Zr2HgN, optimized geometry, DFT PBE; space-group type = R3m (160); VASP energy = -29.62 eV per formula unit; DOS at the Fermi energy = 2.37 states/eV per cell
1.0
1.6679 0.9629 7.3275
-1.6679 0.9629 7.3275
0.0000 -1.9259 7.3275
Zr Hg N
2 1 1
Direct
0.0000 0.0000 0.0000 Zr
0.2223 0.2223 0.2223 Zr
0.4443 0.4443 0.4443 Hg
0.6128 0.6128 0.6128 N